Arrangement A

Here is a geometry-optimized CdIn2Cl8 structure from Alexandria. Energies are from GGA-PBE.

symmetry: C2/m, No. 12

a b c (Å): 8.031 8.031 6.457
angles (deg): 95.98 95.98 69.63
Element x y z (fractional)
Cd 0.000 0.000 0.000
In 0.194 0.194 0.651
In 0.806 0.806 0.349
Cl 0.102 0.713 0.220
Cl 0.176 0.176 0.273
Cl 0.287 0.898 0.780
Cl 0.368 0.368 0.766
Cl 0.632 0.632 0.234
Cl 0.713 0.102 0.220
Cl 0.824 0.824 0.727
Cl 0.898 0.287 0.780



Arrangement B

Here is a geometry-optimized CdIn2Cl8 structure from Alexandria. Energies are from GGA-PBE.

symmetry: C2/c, No. 15

a b c (Å): 9.894 9.894 12.632
angles (deg): 125.83 125.83 53.90
Element x y z (fractional)
Cd 0.001 0.999 0.750
Cd 0.999 0.001 0.250
In 0.179 0.663 0.467
In 0.337 0.821 0.033
In 0.663 0.179 0.967
In 0.821 0.337 0.533
Cl 0.116 0.203 0.521
Cl 0.120 0.713 0.805
Cl 0.131 0.683 0.265
Cl 0.203 0.116 0.021
Cl 0.287 0.880 0.695
Cl 0.317 0.869 0.235
Cl 0.356 0.366 0.456
Cl 0.366 0.356 0.956
Cl 0.634 0.644 0.044
Cl 0.644 0.634 0.544
Cl 0.683 0.131 0.765
Cl 0.713 0.120 0.305
Cl 0.797 0.884 0.979
Cl 0.869 0.317 0.735
Cl 0.880 0.287 0.195
Cl 0.884 0.797 0.479



Which of them is the least stable? Correct choice: arrangement A.



Arrangement A

Here is a geometry-optimized Cd2In2Cl structure from Alexandria. Energies are from GGA-PBE.

symmetry: P4/mbm, No. 127

a b c (Å): 8.469 8.469 3.808
angles (deg): 90.00 90.00 90.00
Element x y z (fractional)
Cd 0.122 0.378 0.000
Cd 0.378 0.878 0.000
Cd 0.622 0.122 0.000
Cd 0.878 0.622 0.000
In 0.186 0.686 0.500
In 0.314 0.186 0.500
In 0.686 0.814 0.500
In 0.814 0.314 0.500
Cl 0.000 0.000 0.500
Cl 0.500 0.500 0.500



Arrangement B

Here is a geometry-optimized Cd2In2Cl structure from Alexandria. Energies are from GGA-PBE.

symmetry: P4/mbm, No. 127

a b c (Å): 8.363 8.363 3.832
angles (deg): 90.00 90.00 90.00
Element x y z (fractional)
Cd 0.128 0.372 0.000
Cd 0.372 0.872 0.000
Cd 0.628 0.128 0.000
Cd 0.872 0.628 0.000
In 0.176 0.676 0.500
In 0.324 0.176 0.500
In 0.676 0.824 0.500
In 0.824 0.324 0.500
Cl 0.000 0.000 0.000
Cl 0.500 0.500 0.000



Which of them is the least stable? Correct choice: arrangement B.



Arrangement A

Here is a geometry-optimized CdIn3Cl structure from Alexandria. Energies are from GGA-PBE.

symmetry: Pm-3m, No. 221

a b c (Å): 5.605 5.605 5.605
angles (deg): 90.00 90.00 90.00
Element x y z (fractional)
Cd 0.000 0.000 0.000
In 0.000 0.000 0.500
In 0.000 0.500 0.000
In 0.500 0.000 0.000
Cl 0.500 0.500 0.500



Arrangement B

Here is a geometry-optimized CdIn3Cl structure from Alexandria. Energies are from GGA-PBE.

symmetry: Pm-3m, No. 221

a b c (Å): 5.700 5.700 5.700
angles (deg): 90.00 90.00 90.00
Element x y z (fractional)
Cd 0.000 0.000 0.000
In 0.000 0.500 0.500
In 0.500 0.000 0.500
In 0.500 0.500 0.000
Cl 0.500 0.500 0.500



Which of them is the least stable? Correct choice: arrangement B.



Arrangement A

Here is a geometry-optimized CdInP2Cl structure from Alexandria. Energies are from GGA-PBE.

symmetry: P4/mmm, No. 123

a b c (Å): 5.108 5.108 5.144
angles (deg): 90.00 90.00 90.00
Element x y z (fractional)
Cd 0.000 0.000 0.000
In 0.500 0.500 0.500
P 0.000 0.500 0.500
P 0.500 0.000 0.500
Cl 0.500 0.500 0.000



Arrangement B

Here is a geometry-optimized CdInP2Cl structure from Alexandria. Energies are from GGA-PBE.

symmetry: P4/mmm, No. 123

a b c (Å): 5.057 5.057 5.628
angles (deg): 90.00 90.00 90.00
Element x y z (fractional)
Cd 0.000 0.000 0.000
In 0.500 0.500 0.500
P 0.000 0.500 0.000
P 0.500 0.000 0.000
Cl 0.000 0.000 0.500



Which of them is the least stable? Correct choice: arrangement A.



Arrangement A

Here is a geometry-optimized CdInS2Cl structure from Alexandria. Energies are from GGA-PBE.

symmetry: P4/mmm, No. 123

a b c (Å): 5.079 5.079 5.034
angles (deg): 90.00 90.00 90.00
Element x y z (fractional)
Cd 0.000 0.000 0.000
In 0.500 0.500 0.500
S 0.000 0.500 0.500
S 0.500 0.000 0.500
Cl 0.500 0.500 0.000



Arrangement B

Here is a geometry-optimized CdInS2Cl structure from Alexandria. Energies are from GGA-PBE.

symmetry: P4/mmm, No. 123

a b c (Å): 5.036 5.036 5.404
angles (deg): 90.00 90.00 90.00
Element x y z (fractional)
Cd 0.000 0.000 0.000
In 0.500 0.500 0.500
S 0.000 0.500 0.000
S 0.500 0.000 0.000
Cl 0.000 0.000 0.500



Which of them is the least stable? Correct choice: arrangement B.



Arrangement A

Here is a geometry-optimized CdIr2Cl structure from Alexandria. Energies are from GGA-PBE.

symmetry: Cmmm, No. 65

a b c (Å): 2.836 5.129 9.050
angles (deg): 90.00 90.00 90.00
Element x y z (fractional)
Cd 0.000 0.000 0.000
Cd 0.500 0.500 0.000
Ir 0.000 0.500 0.265
Ir 0.000 0.500 0.735
Ir 0.500 0.000 0.265
Ir 0.500 0.000 0.735
Cl 0.000 0.000 0.500
Cl 0.500 0.500 0.500



Arrangement B

Here is a geometry-optimized CdIr2Cl structure from Alexandria. Energies are from GGA-PBE.

symmetry: Pmmm, No. 47

a b c (Å): 2.815 4.438 5.717
angles (deg): 90.00 90.00 90.00
Element x y z (fractional)
Cd 0.000 0.000 0.000
Ir 0.500 0.500 0.220
Ir 0.500 0.500 0.780
Cl 0.000 0.000 0.500



Which of them is the least stable? Correct choice: arrangement B.



Arrangement A

Here is a geometry-optimized CdIr2Cl structure from Alexandria. Energies are from GGA-PBE.

symmetry: P4/mmm, No. 123

a b c (Å): 4.678 4.678 3.040
angles (deg): 90.00 90.00 90.00
Element x y z (fractional)
Cd 0.000 0.000 0.000
Ir 0.000 0.500 0.500
Ir 0.500 0.000 0.500
Cl 0.500 0.500 0.000



Arrangement B

Here is a geometry-optimized CdIr2Cl structure from Alexandria. Energies are from GGA-PBE.

symmetry: Fm-3m, No. 225

a b c (Å): 6.444 6.444 6.444
angles (deg): 90.00 90.00 90.00
Element x y z (fractional)
Cd 0.000 0.000 0.000
Cd 0.000 0.500 0.500
Cd 0.500 0.000 0.500
Cd 0.500 0.500 0.000
Ir 0.250 0.250 0.250
Ir 0.250 0.250 0.750
Ir 0.250 0.750 0.250
Ir 0.250 0.750 0.750
Ir 0.750 0.250 0.250
Ir 0.750 0.250 0.750
Ir 0.750 0.750 0.250
Ir 0.750 0.750 0.750
Cl 0.000 0.000 0.500
Cl 0.000 0.500 0.000
Cl 0.500 0.000 0.000
Cl 0.500 0.500 0.500



Arrangement C

Here is a geometry-optimized CdIr2Cl structure from Alexandria. Energies are from GGA-PBE.

symmetry: Immm, No. 71

a b c (Å): 2.818 4.995 9.412
angles (deg): 90.00 90.00 90.00
Element x y z (fractional)
Cd 0.000 0.000 0.000
Cd 0.500 0.500 0.500
Ir 0.000 0.500 0.237
Ir 0.000 0.500 0.763
Ir 0.500 0.000 0.263
Ir 0.500 0.000 0.737
Cl 0.000 0.000 0.500
Cl 0.500 0.500 0.000



Which of them is the least stable? Correct choice: arrangement B.



Arrangement A

Here is a geometry-optimized CdIr2Cl structure from Alexandria. Energies are from GGA-PBE.

symmetry: P4/mmm, No. 123

a b c (Å): 3.627 3.627 5.973
angles (deg): 90.00 90.00 90.00
Element x y z (fractional)
Cd 0.000 0.000 0.000
Ir 0.000 0.500 0.500
Ir 0.500 0.000 0.500
Cl 0.500 0.500 0.000



Arrangement B

Here is a geometry-optimized CdIr2Cl structure from Alexandria. Energies are from GGA-PBE.

symmetry: Imm2, No. 44

a b c (Å): 2.874 5.064 9.791
angles (deg): 90.00 90.00 90.00
Element x y z (fractional)
Cd 0.000 0.000 0.000
Cd 0.500 0.500 0.500
Ir 0.000 0.000 0.502
Ir 0.000 0.500 0.221
Ir 0.500 0.000 0.721
Ir 0.500 0.500 0.002
Cl 0.000 0.500 0.794
Cl 0.500 0.000 0.294



Arrangement C

Here is a geometry-optimized CdIr2Cl structure from Alexandria. Energies are from GGA-PBE.

symmetry: Pmm2, No. 25

a b c (Å): 2.906 3.719 7.603
angles (deg): 90.00 90.00 90.00
Element x y z (fractional)
Cd 0.000 0.000 0.000
Ir 0.000 0.000 0.612
Ir 0.500 0.500 0.735
Cl 0.500 0.500 0.212



Which of them is the least stable? Correct choice: arrangement A.



Arrangement A

Here is a geometry-optimized CdIr2Cl structure from Alexandria. Energies are from GGA-PBE.

symmetry: Cm, No. 8

a b c (Å): 8.308 2.942 7.753
angles (deg): 90.00 116.50 90.00
Element x y z (fractional)
Cd 0.000 0.000 0.000
Cd 0.500 0.500 0.000
Ir 0.187 0.000 0.755
Ir 0.411 0.000 0.628
Ir 0.687 0.500 0.755
Ir 0.911 0.500 0.628
Cl 0.225 0.500 0.314
Cl 0.725 0.000 0.314



Arrangement B

Here is a geometry-optimized CdIr2Cl structure from Alexandria. Energies are from GGA-PBE.

symmetry: R-3m, No. 166

a b c (Å): 2.934 2.934 26.022
angles (deg): 90.00 90.00 120.00
Element x y z (fractional)
Cd 0.000 0.000 0.000
Cd 0.333 0.667 0.667
Cd 0.667 0.333 0.333
Ir 0.000 0.000 0.245
Ir 0.000 0.000 0.755
Ir 0.333 0.667 0.422
Ir 0.333 0.667 0.911
Ir 0.667 0.333 0.089
Ir 0.667 0.333 0.578
Cl 0.000 0.000 0.500
Cl 0.333 0.667 0.167
Cl 0.667 0.333 0.833



Arrangement C

Here is a geometry-optimized CdIr2Cl structure from Alexandria. Energies are from GGA-PBE.

symmetry: I-42d, No. 122

a b c (Å): 4.682 4.682 15.407
angles (deg): 90.00 90.00 90.00
Element x y z (fractional)
Cd 0.000 0.000 0.000
Cd 0.000 0.500 0.250
Cd 0.500 0.000 0.750
Cd 0.500 0.500 0.500
Ir 0.111 0.250 0.625
Ir 0.250 0.611 0.875
Ir 0.250 0.889 0.375
Ir 0.389 0.250 0.125
Ir 0.611 0.750 0.125
Ir 0.750 0.111 0.375
Ir 0.750 0.389 0.875
Ir 0.889 0.750 0.625
Cl 0.000 0.000 0.500
Cl 0.000 0.500 0.750
Cl 0.500 0.000 0.250
Cl 0.500 0.500 0.000



Which of them is the least stable? Correct choice: arrangement C.



Arrangement A

Here is a geometry-optimized CdIr2Cl structure from Alexandria. Energies are from GGA-PBE.

symmetry: R3m, No. 160

a b c (Å): 2.924 2.924 29.440
angles (deg): 90.00 90.00 120.00
Element x y z (fractional)
Cd 0.000 0.000 0.000
Cd 0.333 0.667 0.667
Cd 0.667 0.333 0.333
Ir 0.000 0.000 0.252
Ir 0.000 0.000 0.516
Ir 0.333 0.667 0.183
Ir 0.333 0.667 0.918
Ir 0.667 0.333 0.585
Ir 0.667 0.333 0.849
Cl 0.000 0.000 0.783
Cl 0.333 0.667 0.449
Cl 0.667 0.333 0.116



Arrangement B

Here is a geometry-optimized CdIr2Cl structure from Alexandria. Energies are from GGA-PBE.

symmetry: I4/mmm, No. 139

a b c (Å): 3.621 3.621 12.160
angles (deg): 90.00 90.00 90.00
Element x y z (fractional)
Cd 0.000 0.000 0.000
Cd 0.500 0.500 0.500
Ir 0.000 0.500 0.250
Ir 0.000 0.500 0.750
Ir 0.500 0.000 0.250
Ir 0.500 0.000 0.750
Cl 0.000 0.000 0.500
Cl 0.500 0.500 0.000



Which of them is the least stable? Correct choice: arrangement B.



Arrangement A

Here is a geometry-optimized CdIrCl2 structure from Alexandria. Energies are from GGA-PBE.

symmetry: P4mm, No. 99

a b c (Å): 3.164 3.164 8.466
angles (deg): 90.00 90.00 90.00
Element x y z (fractional)
Cd 0.000 0.000 0.000
Ir 0.500 0.500 0.771
Cl 0.000 0.000 0.598
Cl 0.500 0.500 0.197



Arrangement B

Here is a geometry-optimized CdIrCl2 structure from Alexandria. Energies are from GGA-PBE.

symmetry: Pmm2, No. 25

a b c (Å): 3.211 4.206 6.953
angles (deg): 90.00 90.00 90.00
Element x y z (fractional)
Cd 0.000 0.000 0.000
Ir 0.500 0.500 0.890
Cl 0.000 0.000 0.620
Cl 0.500 0.500 0.221



Arrangement C

Here is a geometry-optimized CdIrCl2 structure from Alexandria. Energies are from GGA-PBE.

symmetry: Pmmm, No. 47

a b c (Å): 3.076 4.298 5.713
angles (deg): 90.00 90.00 90.00
Element x y z (fractional)
Cd 0.000 0.000 0.000
Ir 0.500 0.000 0.500
Cl 0.000 0.500 0.500
Cl 0.500 0.500 0.000



Arrangement D

Here is a geometry-optimized CdIrCl2 structure from Alexandria. Energies are from GGA-PBE.

symmetry: Pm, No. 6

a b c (Å): 4.394 3.330 7.247
angles (deg): 90.00 107.44 90.00
Element x y z (fractional)
Cd 0.000 0.000 0.000
Ir 0.539 0.500 0.078
Cl 0.371 0.500 0.741
Cl 0.661 0.000 0.325



Which of them is the least stable? Correct choice: arrangement C.